[1]
# CePrY3Tm

An optimized crystal structure of CePrY3Tm (PBE, Alexandria via LeMat-Bulk).

Unit cell a=5.0769 b=15.1344 c=10.1280 alpha=90.00 beta=90.00 gamma=90.00
Space group Cmcm (No. 63)
Asymmetric unit:
1 Ce 0.0000 0.0011 0.2500 (multiplicity 4)
2 Pr 0.0000 0.5000 0.0000 (multiplicity 4)
3 Y 0.0000 0.1655 0.0005 (multiplicity 8)
4 Y 0.0000 0.3325 0.2500 (multiplicity 4)
5 Tm 0.0000 0.3332 0.7500 (multiplicity 4)

Properties
ΔH_f (0 K): 0.06 eV per atom


[2]
# HgS2ClF

An optimized crystal structure of HgS2ClF (PBE, Alexandria via LeMat-Bulk).

Unit cell a=4.1412 b=4.1412 c=6.3071 alpha=90.00 beta=90.00 gamma=90.00
Space group P4/mmm (No. 123)
Asymmetric unit:
1 Hg 0.0000 0.0000 0.0000 (multiplicity 1)
2 S 0.0000 0.5000 0.5000 (multiplicity 2)
3 Cl 0.5000 0.5000 0.0000 (multiplicity 1)
4 F 0.5000 0.5000 0.5000 (multiplicity 1)

Properties
Formation energy from raw total energies: 2.20 eV/f.u.
Excess energy over the best structure of this formula in the dataset: 0.0000 eV per atom